1.
VASP calculation (PBEsol) on crystalline FeMoRh2 at its relaxed geometry.

Results
* DOS(E_F): 3.0 states/eV/f.u.
* distance to the lowest polymorph of the same formula: 23 meV/atom
* total magnetic moment: 0.00 Bohr magnetons per cell

Lattice parameters (Å, degrees): 3.713 3.713 3.754 90.00 90.00 90.00
Space group P4/mmm (No. 123)
Symmetry-distinct sites (fractional):
Fe: 0.000 0.000 0.000 x1
Mo: 0.500 0.500 0.000 x1
Rh: 0.000 0.500 0.500 x2

***

2.
VASP calculation (PBEsol) on crystalline MgTi2AlCd at its relaxed geometry.

Results
* DOS(E_F): 4.3 states/eV/f.u.
* total magnetic moment: 0.00 Bohr magnetons per cell
* total DFT energy (no corrections): -4.033 eV/atom

Lattice parameters (Å, degrees): 4.753 4.753 4.857 90.00 90.00 90.00
Space group P4/mmm (No. 123)
Symmetry-distinct sites (fractional):
Mg: 0.000 0.000 0.000 x1
Ti: 0.000 0.500 0.500 x2
Al: 0.000 0.000 0.500 x1
Cd: 0.500 0.500 0.000 x1

***

3.
VASP calculation (PBEsol) on crystalline Li6Ti2O7 at its relaxed geometry.

Results
* DOS(E_F): 0.0 states/eV/f.u.
* formation energy from raw total energies: -2519 meV/atom
* distance to the lowest polymorph of the same formula: 0 meV/atom
* total magnetic moment: 0.00 Bohr magnetons per cell

Lattice parameters (Å, degrees): 9.939 5.712 9.638 90.00 101.15 90.00
Space group C2/c (No. 15)
Symmetry-distinct sites (fractional):
Li: 0.065 0.143 0.098 x8
Li: 0.070 0.399 0.611 x8
Li: 0.204 0.126 0.886 x8
Ti: 0.184 0.388 0.370 x8
O: 0.000 0.351 0.250 x4
O: 0.122 0.382 0.975 x8
O: 0.136 0.135 0.501 x8
O: 0.248 0.111 0.249 x8

***

4.
VASP calculation (PBEsol) on crystalline Cs3GeH at its relaxed geometry.

Results
* DOS(E_F): 2.1 states/eV/f.u.
* total magnetic moment: 2.01 Bohr magnetons per cell
* total DFT energy (no corrections): -2.132 eV/atom

Lattice parameters (Å, degrees): 5.825 5.825 5.825 90.00 90.00 90.00
Space group Pm-3m (No. 221)
Symmetry-distinct sites (fractional):
Cs: 0.000 0.000 0.500 x3
Ge: 0.500 0.500 0.500 x1
H: 0.000 0.000 0.000 x1

***

5.
VASP calculation (PBEsol) on crystalline ZrMn2Ir2 at its relaxed geometry.

Results
* DOS(E_F): 5.0 states/eV/f.u.
* total magnetic moment: 8.99 Bohr magnetons per cell
* total DFT energy (no corrections): -9.733 eV/atom

Lattice parameters (Å, degrees): 3.900 3.900 10.461 90.00 90.00 90.00
Space group I4/mmm (No. 139)
Symmetry-distinct sites (fractional):
Zr: 0.000 0.000 0.000 x2
Mn: 0.000 0.500 0.250 x4
Ir: 0.000 0.000 0.385 x4

***

6.
VASP calculation (PBEsol) on crystalline Co2Si2Pd at its relaxed geometry.

Results
* DOS(E_F): 2.9 states/eV/f.u.
* formation energy from raw total energies: -624 meV/atom
* total magnetic moment: 0.00 Bohr magnetons per cell

Lattice parameters (Å, degrees): 6.600 6.600 2.628 90.00 90.00 90.00
Space group P4/mbm (No. 127)
Symmetry-distinct sites (fractional):
Co: 0.142 0.358 0.000 x4
Si: 0.151 0.651 0.500 x4
Pd: 0.000 0.000 0.500 x2

***

7.
VASP calculation (PBEsol) on crystalline NiSbRhSe2 at its relaxed geometry.

Results
* DOS(E_F): 11.4 states/eV/f.u.
* formation energy from raw total energies: 1324 meV/atom
* total magnetic moment: 1.44 Bohr magnetons per cell

Lattice parameters (Å, degrees): 5.214 5.214 4.789 90.00 90.00 90.00
Space group P4/mmm (No. 123)
Symmetry-distinct sites (fractional):
Ni: 0.000 0.000 0.000 x1
Sb: 0.500 0.500 0.500 x1
Rh: 0.500 0.500 0.000 x1
Se: 0.000 0.500 0.500 x2

***

8.
VASP calculation (PBEsol) on crystalline CdPb2Se at its relaxed geometry.

Results
* DOS(E_F): 1.4 states/eV/f.u.
* formation energy from raw total energies: -131 meV/atom
* distance to the lowest polymorph of the same formula: 0 meV/atom
* total magnetic moment: 0.00 Bohr magnetons per cell

Lattice parameters (Å, degrees): 6.028 6.052 6.052 90.00 90.00 90.00
Space group Amm2 (No. 38)
Symmetry-distinct sites (fractional):
Cd: 0.000 0.000 0.000 x2
Pb: 0.000 0.000 0.500 x2
Pb: 0.500 0.000 0.002 x2
Se: 0.500 0.000 0.502 x2

***

9.
VASP calculation (PBEsol) on crystalline RePRuPt2 at its relaxed geometry.

Results
* DOS(E_F): 7.3 states/eV/f.u.
* total magnetic moment: 2.71 Bohr magnetons per cell
* total DFT energy (no corrections): -7.057 eV/atom

Lattice parameters (Å, degrees): 4.792 4.792 4.366 90.00 90.00 90.00
Space group P4/mmm (No. 123)
Symmetry-distinct sites (fractional):
Re: 0.000 0.000 0.000 x1
P: 0.000 0.000 0.500 x1
Ru: 0.500 0.500 0.500 x1
Pt: 0.000 0.500 0.000 x2

***

10.
VASP calculation (PBEsol) on crystalline RbHOF2 at its relaxed geometry.

Results
* DOS(E_F): 1.7 states/eV/f.u.
* total magnetic moment: 2.00 Bohr magnetons per cell
* total DFT energy (no corrections): -3.479 eV/atom

Lattice parameters (Å, degrees): 4.633 4.633 2.774 90.00 90.00 90.00
Space group P4/mmm (No. 123)
Symmetry-distinct sites (fractional):
Rb: 0.000 0.000 0.000 x1
H: 0.500 0.500 0.500 x1
O: 0.500 0.500 0.000 x1
F: 0.000 0.500 0.500 x2

***

11.
VASP calculation (PBEsol) on crystalline Cs2Zr2ZnH12O6F12 at its relaxed geometry.

Results
* DOS(E_F): 0.0 states/eV/f.u.
* total magnetic moment: 0.11 Bohr magnetons per cell
* total DFT energy (no corrections): -5.428 eV/atom

Lattice parameters (Å, degrees): 6.316 10.832 13.550 90.00 109.93 90.00
Space group P2_1/c (No. 14)
Symmetry-distinct sites (fractional):
Cs: 0.131 0.217 0.092 x4
Zr: 0.334 0.030 0.863 x4
Zn: 0.500 0.000 0.500 x2
H: 0.032 0.587 0.069 x4
H: 0.126 0.595 0.803 x4
H: 0.263 0.634 0.142 x4
H: 0.282 0.724 0.804 x4
H: 0.310 0.170 0.405 x4
H: 0.340 0.583 0.758 x4
O: 0.186 0.610 0.069 x4
O: 0.271 0.107 0.448 x4
O: 0.289 0.629 0.814 x4
F: 0.077 0.036 0.913 x4
F: 0.093 0.060 0.718 x4
F: 0.253 0.647 0.295 x4
F: 0.379 0.207 0.834 x4
F: 0.401 0.504 0.690 x4
F: 0.489 0.606 0.484 x4

***

12.
VASP calculation (PBEsol) on crystalline Zr2PW at its relaxed geometry.

Results
* DOS(E_F): 3.9 states/eV/f.u.
* total magnetic moment: 0.00 Bohr magnetons per cell
* total DFT energy (no corrections): -9.611 eV/atom

Lattice parameters (Å, degrees): 3.472 4.909 8.368 90.00 90.00 90.00
Space group Cmm2 (No. 35)
Symmetry-distinct sites (fractional):
Zr: 0.000 0.000 0.000 x2
Zr: 0.000 0.500 0.312 x2
P: 0.000 0.000 0.534 x2
W: 0.000 0.500 0.736 x2